# PBE HfAlRe2Br, relaxed
# E_form (uncorrected)	2.05	eV/atom
# M_tot	4.7	Bohr magnetons per cell
# ρ	8.08	g/cm³
# final energy	-30.002	eV for the cell shown
data_HfAlRe2Br
_chemical_formula_sum 'Hf1 Al1 Re2 Br1'
_cell_length_a 4.958
_cell_length_b 4.958
_cell_length_c 5.497
_cell_angle_alpha 90.00
_cell_angle_beta 90.00
_cell_angle_gamma 90.00
_space_group_name_H-M_alt 'P 4/m m m'
_space_group_IT_number 123
_space_group_name_Hall '-P 4 2'
loop_
_atom_site_label
_atom_site_type_symbol
_atom_site_fract_x
_atom_site_fract_y
_atom_site_fract_z
Hf1 Hf 0.000 0.000 0.000
Al1 Al 0.000 0.000 0.500
Re1 Re 0.000 0.500 0.000
Br1 Br 0.500 0.500 0.500